1.
Entry from the Alexandria database: a relaxed KTiCd2Pt crystal (PBE-GGA).

Computed properties:
formation energy: 30.9 meV/atom

Cell lengths 5.351, 4.946, 5.351 Å; angles 90.00, 90.00, 90.00 degrees
Fractional positions:
Cd 0.500 0.000 0.000
Cd 0.000 0.000 0.500
K 0.500 0.500 0.500
Ti 0.000 0.500 0.000
Pt 0.000 0.000 0.000

2.
Entry from the Alexandria database: a relaxed IrRu2W crystal (PBE-GGA).

Computed properties:
formation energy: -43.1 meV/atom
energy above the most stable polymorph in this dataset: 0.54 eV per formula unit

Cell lengths 4.720, 4.720, 2.765 Å; angles 90.00, 90.00, 108.66 degrees
Fractional positions:
Ir 0.000 0.500 0.500
W 0.500 0.000 0.500
Ru 0.500 0.500 0.000
Ru 0.000 0.000 0.000